(1)
{"formula": "CuSi3", "functional": "PBE", "state": "optimized geometry", "lattice": [[-3.959, -1.100, -2.526], [-1.976, -0.879, -4.311], [0.186, -4.586, -0.360]], "species": ["Cu", "Si", "Si", "Si"], "fractional_positions": [[0.000, 0.000, 0.000], [0.500, 0.500, 0.500], [0.739, 0.739, 0.752], [0.261, 0.261, 0.248]], "energy_ev_per_atom": -4.741, "dos_at_fermi_per_ev_fu": 0.96, "formation_energy_uncorrected_mev_per_atom": 350, "rho_g_cm3": 4.4, "m_tot_mub_per_cell": 0.00}



(2)
{"formula": "Nd6AsP2Se3", "functional": "PBE", "state": "optimized geometry", "lattice": [[-0.037, -1.386, 3.967], [-3.687, -7.205, -2.551], [9.070, -1.088, -2.522]], "species": ["Nd", "Nd", "Nd", "Nd", "Nd", "Nd", "As", "P", "P", "Se", "Se", "Se"], "fractional_positions": [[0.334, 0.902, 0.668], [0.672, 0.573, 0.343], [0.666, 0.098, 0.332], [0.005, 0.247, 0.011], [0.995, 0.753, 0.989], [0.328, 0.427, 0.657], [0.500, 0.000, 0.000], [0.833, 0.666, 0.666], [0.167, 0.334, 0.334], [0.500, 0.500, 0.000], [0.834, 0.167, 0.669], [0.166, 0.833, 0.331]], "energy_ev_per_atom": -6.307, "dos_at_fermi_per_ev_fu": 4.50, "formation_energy_uncorrected_mev_per_atom": -1763, "rho_g_cm3": 6.4, "m_tot_mub_per_cell": 0.00}



(3)
{"formula": "RbTlSn2", "functional": "PBE", "state": "optimized geometry", "lattice": [[-3.408, 0.599, -2.249], [0.679, -3.558, -1.978], [-4.392, -3.952, 5.601]], "species": ["Tl", "Sn", "Sn", "Rb"], "fractional_positions": [[0.500, 0.500, 0.000], [0.000, 0.000, 0.818], [0.000, 0.000, 0.182], [0.500, 0.500, 0.500]], "energy_ev_per_atom": -2.888, "dos_at_fermi_per_ev_fu": 2.40, "rho_g_cm3": 6.3, "e_form_ev_per_atom": -0.0531, "m_tot_mub_per_cell": 0.00}



(4)
{"formula": "Co3ReBi", "functional": "PBE", "state": "optimized geometry", "lattice": [[-3.818, -0.381, 2.362], [-1.385, -3.275, -2.768], [1.951, -3.071, 2.658]], "species": ["Re", "Co", "Co", "Co", "Bi"], "fractional_positions": [[0.000, 0.000, 0.000], [0.000, 0.500, 0.000], [0.000, 0.000, 0.500], [0.500, 0.000, 0.000], [0.500, 0.500, 0.500]], "energy_ev_per_atom": -6.320, "dos_at_fermi_per_ev_fu": 7.04, "rho_g_cm3": 10.4, "e_form_ev_per_atom": 1.2093, "m_tot_mub_per_cell": 0.00}



(5)
{"formula": "Ba2MoOs", "functional": "PBE", "state": "optimized geometry", "lattice": [[-0.798, -0.985, -3.553], [-2.156, -3.349, 1.413], [-6.055, 4.004, 0.249]], "species": ["Ba", "Ba", "Mo", "Os"], "fractional_positions": [[0.000, 0.000, 0.984], [0.000, 0.000, 0.516], [0.500, 0.500, 0.250], [0.500, 0.500, 0.750]], "energy_ev_per_atom": -4.952, "dos_at_fermi_per_ev_fu": 5.40, "rho_g_cm3": 8.0, "e_form_ev_per_atom": 1.5248, "m_tot_mub_per_cell": 4.59}



(6)
{"formula": "K3Pm2HoSe6", "functional": "PBE", "state": "optimized geometry", "lattice": [[7.412, -0.001, 0.000], [-3.705, 6.419, 0.000], [-1.236, -2.141, 7.696]], "species": ["K", "K", "K", "Pm", "Pm", "Ho", "Se", "Se", "Se", "Se", "Se", "Se"], "fractional_positions": [[0.168, 0.832, 0.500], [0.832, 0.168, 0.500], [0.500, 0.500, 0.500], [0.333, 0.667, 0.000], [0.667, 0.333, 0.000], [0.000, 0.000, 0.000], [0.931, 0.605, 0.792], [0.743, 0.743, 0.208], [0.069, 0.395, 0.208], [0.605, 0.931, 0.792], [0.257, 0.257, 0.792], [0.395, 0.069, 0.208]], "energy_ev_per_atom": -4.948, "dos_at_fermi_per_ev_fu": 0.00, "formation_energy_uncorrected_mev_per_atom": -1759, "rho_g_cm3": 4.7, "m_tot_mub_per_cell": 0.00}



(7)
{"formula": "Tb5PrTe4", "functional": "PBE", "state": "optimized geometry", "lattice": [[-4.063, 0.700, 1.019], [-2.501, -4.562, -6.833], [2.613, -6.693, 6.167]], "species": ["Tb", "Tb", "Tb", "Tb", "Tb", "Pr", "Te", "Te", "Te", "Te"], "fractional_positions": [[0.810, 0.646, 0.620], [0.840, 0.205, 0.681], [0.160, 0.795, 0.319], [0.500, 0.500, 0.000], [0.190, 0.354, 0.380], [0.500, 0.000, 0.000], [0.328, 0.929, 0.655], [0.985, 0.733, 0.969], [0.672, 0.071, 0.345], [0.015, 0.267, 0.031]], "energy_ev_per_atom": -4.976, "dos_at_fermi_per_ev_fu": 8.74, "formation_energy_uncorrected_mev_per_atom": -926, "rho_g_cm3": 7.3, "m_tot_mub_per_cell": 0.00}



(8)
{"formula": "ZrCrSi2", "functional": "PBE", "state": "optimized geometry", "lattice": [[-2.706, 2.117, 3.597], [0.092, -2.875, 4.058], [2.909, 2.633, -3.057]], "species": ["Cr", "Si", "Si", "Zr"], "fractional_positions": [[0.750, 0.250, 0.500], [0.977, 0.977, 0.000], [0.523, 0.523, 0.000], [0.250, 0.750, 0.500]], "energy_ev_per_atom": -7.412, "dos_at_fermi_per_ev_fu": 2.61, "formation_energy_uncorrected_mev_per_atom": -158, "rho_g_cm3": 5.4, "m_tot_mub_per_cell": 0.02}



(9)
{"formula": "BMoOs", "functional": "PBE", "state": "optimized geometry", "lattice": [[-0.200, 2.494, -1.516], [-4.212, -1.109, -1.270], [-0.744, 1.526, 5.431]], "species": ["B", "B", "Mo", "Mo", "Os", "Os"], "fractional_positions": [[0.232, 0.378, 0.463], [0.768, 0.622, 0.537], [0.855, 0.176, 0.711], [0.145, 0.824, 0.289], [0.426, 0.713, 0.851], [0.574, 0.287, 0.149]], "energy_ev_per_atom": -9.813, "dos_at_fermi_per_ev_fu": 1.28, "rho_g_cm3": 13.8, "e_form_ev_per_atom": -0.2332, "m_tot_mub_per_cell": 0.00}



(10)
{"formula": "GaAg2Bi", "functional": "PBE", "state": "optimized geometry", "lattice": [[4.462, 0.000, 0.000], [0.000, 4.462, 0.000], [2.231, 2.231, 9.320]], "species": ["Ga", "Ga", "Bi", "Bi", "Ag", "Ag", "Ag", "Ag"], "fractional_positions": [[0.500, 0.500, 0.000], [0.250, 0.750, 0.500], [0.000, 0.000, 0.000], [0.750, 0.250, 0.500], [0.578, 0.125, 0.250], [0.172, 0.625, 0.250], [0.375, 0.422, 0.750], [0.875, 0.828, 0.750]], "energy_ev_per_atom": -2.991, "dos_at_fermi_per_ev_fu": 1.86, "rho_g_cm3": 8.8, "e_form_ev_per_atom": 0.1612, "m_tot_mub_per_cell": 0.00}



(11)
{"formula": "TiNi3Mo", "functional": "PBE", "state": "optimized geometry", "lattice": [[4.224, 0.000, 0.000], [0.000, 4.224, 0.000], [0.000, 0.000, 4.224]], "species": ["Ni", "Ni", "Ni", "Mo", "Ti"], "fractional_positions": [[0.000, 0.500, 0.000], [0.000, 0.000, 0.500], [0.500, 0.000, 0.000], [0.500, 0.500, 0.500], [0.000, 0.000, 0.000]], "energy_ev_per_atom": -6.167, "dos_at_fermi_per_ev_fu": 4.69, "rho_g_cm3": 7.0, "e_form_ev_per_atom": 1.0468, "m_tot_mub_per_cell": 0.90}



(12)
{"formula": "KOs2Br", "functional": "PBE", "state": "optimized geometry", "lattice": [[-0.917, -6.968, 0.814], [3.326, -0.626, -1.617], [1.664, 0.173, 3.357]], "species": ["Br", "K", "Os", "Os"], "fractional_positions": [[0.500, 0.500, 0.000], [0.500, 0.000, 0.500], [0.000, 0.000, 0.000], [0.000, 0.500, 0.500]], "energy_ev_per_atom": -5.012, "dos_at_fermi_per_ev_fu": 4.36, "formation_energy_uncorrected_mev_per_atom": 1296, "rho_g_cm3": 8.3, "m_tot_mub_per_cell": 1.41}